Here is Co4Hg after structural relaxation from Alexandria. Energies are from PBE.

Summary:
Energy of formation   0.39 eV/atom
Distance to the lowest polymorph of the same formula   85 meV/atom
Calculated total energy   -26.8 eV for the cell shown
Total magnetization   6.55 μB/f.u.

a b c (Å): 5.8526 5.8526 5.8526
angles (deg): 143.98 143.98 51.85
Closest atoms and distances in Å follow each position.
Atoms (fractional coordinates):
Co (0.1101, 0.1101, 0.0000)  5 Co 2.32-2.33
Co (0.2500, 0.7500, 0.5000)  8 Co 2.33-2.56
Co (0.7500, 0.2500, 0.5000)  8 Co 2.33-2.56
Co (0.8899, 0.8899, 0.0000)  5 Co 2.32-2.33
Hg (0.5000, 0.5000, 0.0000)  8 Co 2.81

=====

Here is Tb3Al9Pt2 after structural relaxation from Alexandria. Energies are from PBE.

Summary:
Energy of formation   -0.71 eV/atom
Calculated total energy   -69.6 eV for the cell shown
Total magnetization   0.00 μB/f.u.

a b c (Å): 8.2459 8.2459 8.2459
angles (deg): 150.01 104.83 82.99
Closest atoms and distances in Å follow each position.
Atoms (fractional coordinates):
Tb (0.0000, 0.0000, 0.0000)  12 Al 3.20-3.24
Tb (0.3119, 0.3119, 0.0000)  10 Al 3.12-3.15, 2 Pt 3.15
Tb (0.6881, 0.6881, 0.0000)  10 Al 3.12-3.15, 2 Pt 3.15
Al (0.0301, 0.6606, 0.3695)  1 Pt 2.55, 4 Al 2.63-2.77
Al (0.1551, 0.8734, 0.2817)  2 Pt 2.65, 4 Al 2.65-2.77
Al (0.2912, 0.6606, 0.6305)  1 Pt 2.55, 4 Al 2.63-2.77
Al (0.4083, 0.1266, 0.2817)  2 Pt 2.65, 4 Al 2.65-2.77
Al (0.5000, 0.0000, 0.5000)  4 Al 2.70, 4 Pt 3.01
Al (0.5917, 0.8734, 0.7183)  2 Pt 2.65, 4 Al 2.65-2.77
Al (0.7088, 0.3394, 0.3695)  1 Pt 2.55, 4 Al 2.63-2.77
Al (0.8449, 0.1266, 0.7183)  2 Pt 2.65, 4 Al 2.65-2.77
Al (0.9699, 0.3394, 0.6305)  1 Pt 2.55, 4 Al 2.63-2.77
Pt (0.2892, 0.5000, 0.7892)  6 Al 2.55-2.65
Pt (0.7108, 0.5000, 0.2108)  6 Al 2.55-2.65

=====

Here is Pr3SnRh8 after structural relaxation from Alexandria. Energies are from PBE.

Summary:
Energy of formation   -0.53 eV/atom
Calculated total energy   -83.5 eV for the cell shown
Total magnetization   0.00 μB/f.u.

a b c (Å): 9.3907 9.3907 9.3907
angles (deg): 33.36 33.36 33.36
Closest atoms and distances in Å follow each position.
Atoms (fractional coordinates):
Pr (0.0000, 0.0000, 0.0000)  12 Rh 3.16-3.21, 4 Pr 3.35-3.39
Pr (0.1275, 0.1275, 0.1275)  12 Rh 3.08-3.20, 3 Sn 3.25, 1 Pr 3.39
Pr (0.6196, 0.6196, 0.6196)  12 Rh 3.11-3.31, 1 Sn 3.27, 3 Pr 3.35
Sn (0.4966, 0.4966, 0.4966)  12 Rh 3.08-3.19, 4 Pr 3.25-3.27
Rh (0.0608, 0.0608, 0.5611)  6 Rh 2.67-2.73
Rh (0.0608, 0.5611, 0.0608)  6 Rh 2.67-2.73
Rh (0.0650, 0.5617, 0.5617)  6 Rh 2.68-2.72
Rh (0.3118, 0.3118, 0.3118)  6 Rh 2.72-2.73
Rh (0.5611, 0.0608, 0.0608)  6 Rh 2.67-2.73
Rh (0.5617, 0.0650, 0.5617)  6 Rh 2.68-2.72
Rh (0.5617, 0.5617, 0.0650)  6 Rh 2.68-2.72
Rh (0.8125, 0.8125, 0.8125)  6 Rh 2.67-2.71

=====

Here is Ta6S after structural relaxation from Alexandria. Energies are from PBE.

Summary:
Formation energy (no corrections)   -0.269 eV per atom
Distance to the lowest polymorph of the same formula   1 meV/atom
Calculated total energy   -154.3 eV for the cell shown
Total magnetization   0.00 μB/f.u.

a b c (Å): 5.2802 7.5734 7.5756
angles (deg): 113.86 109.09 98.26
Closest atoms and distances in Å follow each position.
Atoms (fractional coordinates):
Ta (0.0000, 0.0000, 0.0000)  6 Ta 2.64-2.92
Ta (0.0018, 0.2948, 0.3715)  2 S 2.47
Ta (0.1492, 0.1505, 0.7211)  1 S 2.51
Ta (0.2295, 0.6905, 0.0638)  2 S 2.46-2.54
Ta (0.4404, 0.4087, 0.2264)  1 S 2.58
Ta (0.4714, 0.1357, 0.4243)  1 S 2.50, 1 Ta 2.74
Ta (0.5000, 0.0000, 0.0000)  6 Ta 2.64-2.87
Ta (0.5286, 0.8643, 0.5757)  1 S 2.50, 1 Ta 2.74
Ta (0.5596, 0.5913, 0.7736)  1 S 2.58
Ta (0.7705, 0.3095, 0.9362)  2 S 2.46-2.54
Ta (0.8508, 0.8495, 0.2789)  1 S 2.51
Ta (0.9982, 0.7052, 0.6285)  2 S 2.47
S (0.0764, 0.5851, 0.3006)  7 Ta 2.46-2.58
S (0.9236, 0.4149, 0.6994)  7 Ta 2.46-2.58